VASP calculation (GGA-PBE) on crystalline CsGdTmTe3 at its relaxed geometry.

Properties
Electronic total energy: -0.329 Ry per atom

Cell: 9.076 9.076 11.955 Å, 90.00 90.00 149.87°
Element x y z (fractional)
Cs 0.244 0.756 0.750
Cs 0.756 0.244 0.250
Gd 0.500 0.500 0.000
Gd 0.500 0.500 0.500
Tm 0.035 0.965 0.250
Tm 0.965 0.035 0.750
Te 0.121 0.879 0.045
Te 0.121 0.879 0.455
Te 0.437 0.563 0.250
Te 0.563 0.437 0.750
Te 0.879 0.121 0.545
Te 0.879 0.121 0.955

VASP calculation (GGA-PBE) on crystalline CsGdYTe3 at its relaxed geometry.

Properties
E above lowest polymorph: 0 meV/atom

Cell: 9.067 9.067 11.947 Å, 90.00 90.00 149.45°
Element x y z (fractional)
Cs 0.244 0.756 0.750
Cs 0.756 0.244 0.250
Gd 0.500 0.500 0.000
Gd 0.500 0.500 0.500
Y 0.034 0.966 0.250
Y 0.966 0.034 0.750
Te 0.121 0.879 0.041
Te 0.121 0.879 0.459
Te 0.435 0.565 0.250
Te 0.565 0.435 0.750
Te 0.879 0.121 0.541
Te 0.879 0.121 0.959

VASP calculation (GGA-PBE) on crystalline CsGdYTe3 at its relaxed geometry.

Properties
E above lowest polymorph: 14 meV/atom

Cell: 9.077 9.077 11.875 Å, 90.00 90.00 149.28°
Element x y z (fractional)
Cs 0.245 0.755 0.750
Cs 0.755 0.245 0.250
Gd 0.032 0.968 0.250
Gd 0.968 0.032 0.750
Y 0.500 0.500 0.000
Y 0.500 0.500 0.500
Te 0.119 0.881 0.038
Te 0.119 0.881 0.462
Te 0.434 0.566 0.250
Te 0.566 0.434 0.750
Te 0.881 0.119 0.538
Te 0.881 0.119 0.962

VASP calculation (GGA-PBE) on crystalline CsGdTl at its relaxed geometry.

Properties
E above lowest polymorph: 384 meV/atom

Cell: 7.886 7.886 7.886 Å, 90.00 90.00 90.00°
Element x y z (fractional)
Cs 0.000 0.000 0.000
Cs 0.000 0.500 0.500
Cs 0.500 0.000 0.500
Cs 0.500 0.500 0.000
Gd 0.250 0.250 0.750
Gd 0.250 0.750 0.250
Gd 0.750 0.250 0.250
Gd 0.750 0.750 0.750
Tl 0.250 0.250 0.250
Tl 0.250 0.750 0.750
Tl 0.750 0.250 0.750
Tl 0.750 0.750 0.250

VASP calculation (GGA-PBE) on crystalline CsGdTl at its relaxed geometry.

Properties
E above lowest polymorph: 0 meV/atom

Cell: 8.151 8.151 8.151 Å, 90.00 90.00 90.00°
Element x y z (fractional)
Cs 0.000 0.000 0.000
Cs 0.000 0.500 0.500
Cs 0.500 0.000 0.500
Cs 0.500 0.500 0.000
Gd 0.000 0.000 0.500
Gd 0.000 0.500 0.000
Gd 0.500 0.000 0.000
Gd 0.500 0.500 0.500
Tl 0.250 0.250 0.250
Tl 0.250 0.750 0.750
Tl 0.750 0.250 0.750
Tl 0.750 0.750 0.250

VASP calculation (GGA-PBE) on crystalline CsGdU at its relaxed geometry.

Properties
E above lowest polymorph: 44 meV/atom

Cell: 7.554 7.554 7.554 Å, 90.00 90.00 90.00°
Element x y z (fractional)
Cs 0.000 0.000 0.000
Cs 0.000 0.500 0.500
Cs 0.500 0.000 0.500
Cs 0.500 0.500 0.000
Gd 0.250 0.250 0.250
Gd 0.250 0.750 0.750
Gd 0.750 0.250 0.750
Gd 0.750 0.750 0.250
U 0.250 0.250 0.750
U 0.250 0.750 0.250
U 0.750 0.250 0.250
U 0.750 0.750 0.750

VASP calculation (GGA-PBE) on crystalline CsGdU at its relaxed geometry.

Properties
E above lowest polymorph: 0 meV/atom

Cell: 8.770 8.770 8.770 Å, 90.00 90.00 90.00°
Element x y z (fractional)
Cs 0.000 0.000 0.000
Cs 0.000 0.500 0.500
Cs 0.500 0.000 0.500
Cs 0.500 0.500 0.000
Gd 0.000 0.000 0.500
Gd 0.000 0.500 0.000
Gd 0.500 0.000 0.000
Gd 0.500 0.500 0.500
U 0.250 0.250 0.250
U 0.250 0.750 0.750
U 0.750 0.250 0.750
U 0.750 0.750 0.250

VASP calculation (GGA-PBE) on crystalline CsGdZr at its relaxed geometry.

Properties
Electronic total energy: -0.223 Ry per atom

Cell: 7.438 7.438 7.438 Å, 90.00 90.00 90.00°
Element x y z (fractional)
Cs 0.000 0.000 0.000
Cs 0.000 0.500 0.500
Cs 0.500 0.000 0.500
Cs 0.500 0.500 0.000
Gd 0.250 0.250 0.750
Gd 0.250 0.750 0.250
Gd 0.750 0.250 0.250
Gd 0.750 0.750 0.750
Zr 0.250 0.250 0.250
Zr 0.250 0.750 0.750
Zr 0.750 0.250 0.750
Zr 0.750 0.750 0.250